# 1
Entry from the Alexandria database: an optimized crystal structure of Li2AgRu (PBE-GGA).

## Properties
formation enthalpy at 0 K	0.71	eV/f.u.
uncorrected energy	-3.811	eV per atom
spin magnetization	0.000	Bohr magnetons per cell
DOS(E_F)	0.526	states/eV/atom

Lattice parameters (Å, degrees): 2.590 4.400 5.271 90.00 90.00 90.00
Atoms (fractional coordinates):
Ag 0.500 0.500 0.744
Li 0.000 0.000 0.997
Li 0.500 0.500 0.261
Ru 0.000 0.000 0.498



# 2
Entry from the Alexandria database: an optimized crystal structure of LiAg2Ru (PBE-GGA).

## Properties
formation enthalpy at 0 K	1.01	eV/f.u.
uncorrected energy	-3.970	eV per atom
spin magnetization	0.935	Bohr magnetons per cell
DOS(E_F)	0.722	states/eV/atom

Lattice parameters (Å, degrees): 2.724 2.724 8.507 90.00 90.00 90.00
Site moments in Bohr magnetons follow the coordinates.
Atoms (fractional coordinates):
Ag 0.000 0.000 0.994  0.01
Ag 0.500 0.500 0.263  0.00
Li 0.000 0.000 0.507  -0.01
Ru 0.500 0.500 0.737  0.91